7
Lattice="-3.595 0.244 -3.389 -4.207 -2.514 0.672 -6.150 6.326 3.370" Properties=species:S:1:pos:R:3 comment="Pm2YCd2Hg2 PBE optimized geometry" ef_ev_per_atom=-0.26 e_tot_ev_per_cell=-20.23 m_tot_mub_per_fu=0.00 crystal_system=trigonal pbc="T T T"
Pm -4.814 3.660 1.761
Pm -9.138 0.396 -1.107
Cd -10.588 3.289 0.639
Cd -3.364 0.767 0.014
Y 0.000 0.000 0.000
Hg -5.852 -0.215 -1.027
Hg -8.100 4.270 1.681